P | 5
Lattice="5.897 0.000 0.000 0.000 5.897 0.000 0.000 0.000 5.897" Properties=species:S:1:pos:R:3 comment="KZnS3 (GGA-PBE, optimized geometry)" spacegroup="Pm-3m (221)" magmom_total_mub_per_fu=5.00 pbc="T T T"
S 0.000 0.000 2.948
S 0.000 2.948 0.000
S 2.948 0.000 0.000
Zn 2.948 2.948 2.948
K 0.000 0.000 0.000

***

Q | 5
Lattice="-1.209 -2.029 4.203 4.451 -1.807 0.408 1.404 3.983 2.326" Properties=species:S:1:pos:R:3 comment="KZnS3 (GGA-PBE, optimized geometry)" spacegroup="Pm-3m (221)" magmom_total_mub_per_fu=0.00 pbc="T T T"
S 0.702 1.991 1.163
S -0.604 -1.014 2.101
S 2.225 -0.903 0.204
Zn 0.000 0.000 0.000
K 2.323 0.074 3.468

***

Most stable structure: Q

***

P | 4
Lattice="0.208 -4.067 -3.688 -4.542 -1.484 -2.711 -0.492 1.121 -5.356" Properties=species:S:1:pos:R:3 comment="K2ZnS (GGA-PBE, optimized geometry)" spacegroup="Fm-3m (225)" magmom_total_mub_per_fu=0.00 pbc="T T T"
S 0.000 0.000 0.000
K -1.206 -1.108 -2.939
K -3.619 -3.323 -8.816
Zn -2.413 -2.215 -5.877

***

Q | 8
Lattice="-4.381 -5.964 4.557 5.372 -6.176 -2.918 4.646 -5.004 6.205" Properties=species:S:1:pos:R:3 comment="K2ZnS (GGA-PBE, optimized geometry)" spacegroup="I-42d (122)" magmom_total_mub_per_fu=0.00 pbc="T T T"
K 4.582 -9.139 4.874
K 3.627 -13.541 6.482
K 3.380 -6.662 0.913
K -0.313 -4.945 3.419
S 5.257 -8.625 2.053
S 0.496 -6.070 0.820
Zn 0.381 -8.519 5.791
Zn 0.000 0.000 0.000

***

Most stable structure: P

***

P | 5
Lattice="-4.971 -0.320 -1.188 1.230 -1.220 -4.818 0.018 -4.963 1.262" Properties=species:S:1:pos:R:3 comment="KZn3S (GGA-PBE, optimized geometry)" spacegroup="Pm-3m (221)" magmom_total_mub_per_fu=0.00 pbc="T T T"
Zn 0.009 -2.481 0.631
Zn -2.485 -0.160 -0.594
Zn 0.615 -0.610 -2.409
S 0.000 0.000 0.000
K -1.861 -3.251 -2.372

***

Q | 5
Lattice="-4.874 -2.283 3.218 1.024 -5.671 -2.471 3.811 -1.395 4.781" Properties=species:S:1:pos:R:3 comment="KZn3S (GGA-PBE, optimized geometry)" spacegroup="Pm-3m (221)" magmom_total_mub_per_fu=1.00 pbc="T T T"
Zn 1.905 -0.697 2.390
Zn -2.437 -1.141 1.609
Zn 0.512 -2.836 -1.236
K 0.000 0.000 0.000
S -0.019 -4.675 2.764

***

Most stable structure: P

***

P | 5
Lattice="4.944 0.000 0.000 0.000 4.944 0.000 0.000 0.000 4.944" Properties=species:S:1:pos:R:3 comment="KZr3S (GGA-PBE, optimized geometry)" spacegroup="Pm-3m (221)" magmom_total_mub_per_fu=1.57 pbc="T T T"
Zr 0.000 2.472 0.000
Zr 2.472 0.000 0.000
Zr 0.000 0.000 2.472
S 2.472 2.472 2.472
K 0.000 0.000 0.000

***

Q | 5
Lattice="-3.263 1.428 -3.541 0.082 -4.631 -1.943 -3.817 -1.320 2.985" Properties=species:S:1:pos:R:3 comment="KZr3S (GGA-PBE, optimized geometry)" spacegroup="Pm-3m (221)" magmom_total_mub_per_fu=0.00 pbc="T T T"
Zr -1.909 -0.660 1.492
Zr -1.631 0.714 -1.771
Zr 0.041 -2.315 -0.972
S 0.000 0.000 0.000
K -3.499 -2.261 -1.250

***

Most stable structure: Q

***

P | 7
Lattice="4.216 0.000 -0.900 -0.282 5.527 -1.323 0.386 -0.005 12.137" Properties=species:S:1:pos:R:3 comment="K3Sb4 (GGA-PBE, optimized geometry)" spacegroup="Immm (71)" magmom_total_mub_per_fu=0.00 pbc="T T T"
Sb 0.223 3.190 1.044
Sb 4.097 2.332 8.870
Sb 2.718 3.644 2.406
Sb 1.602 1.879 7.508
K 0.853 1.000 3.997
K 3.467 4.522 5.917
K 2.108 0.000 -0.450

***

Q | 7
Lattice="3.382 -5.857 0.000 3.382 5.857 0.000 0.000 0.000 6.089" Properties=species:S:1:pos:R:3 comment="K3Sb4 (GGA-PBE, optimized geometry)" spacegroup="P6/mmm (191)" magmom_total_mub_per_fu=0.00 pbc="T T T"
Sb 3.382 1.952 3.045
Sb 0.000 0.000 4.718
Sb 3.382 -1.952 3.045
Sb 0.000 0.000 1.371
K 1.691 2.929 0.000
K 1.691 -2.929 0.000
K 3.382 0.000 0.000

***

Most stable structure: P

***

P | 5
Lattice="6.350 -2.878 -1.796 0.667 7.149 0.524 -2.145 -2.680 6.328" Properties=species:S:1:pos:R:3 comment="K4Sb (GGA-PBE, optimized geometry)" spacegroup="Im-3m (229)" magmom_total_mub_per_fu=0.00 pbc="T T T"
K 3.175 -1.439 -0.898
K 0.334 3.575 0.262
K 2.436 0.796 2.528
K -1.073 -1.340 3.164
Sb 0.000 0.000 0.000

***

Q | 10
Lattice="-4.032 -3.648 1.801 9.165 -3.632 4.050 -11.950 13.145 -0.125" Properties=species:S:1:pos:R:3 comment="K4Sb (GGA-PBE, optimized geometry)" spacegroup="Cm (8)" magmom_total_mub_per_fu=0.00 pbc="T T T"
Sb -7.763 7.715 2.801
Sb -2.645 2.085 2.858
K 7.269 -3.803 4.021
K -5.228 4.879 2.738
K -5.673 0.403 1.787
K -9.710 4.848 1.748
K 0.856 2.315 2.050
K -7.199 11.168 1.947
K 0.785 -1.655 2.946
K -0.747 5.016 3.934

***

R | 5
Lattice="-3.796 -5.289 2.147 2.866 0.463 6.210 -4.936 4.337 1.955" Properties=species:S:1:pos:R:3 comment="K4Sb (GGA-PBE, optimized geometry)" spacegroup="Pm-3m (221)" magmom_total_mub_per_fu=0.45 pbc="T T T"
K -4.366 -0.476 2.051
K 0.000 0.000 0.000
K -0.465 -2.413 4.178
K -1.035 2.400 4.082
Sb -2.933 -0.245 5.156

***

Most stable structure: Q

***

P | 5
Lattice="4.851 0.000 0.000 0.000 4.851 0.000 2.426 2.426 7.155" Properties=species:S:1:pos:R:3 comment="KSc2Sb2 (GGA-PBE, optimized geometry)" spacegroup="I4/mmm (139)" magmom_total_mub_per_fu=0.92 pbc="T T T"
Sc 4.851 2.426 3.577
Sc 2.426 4.851 3.577
K 0.000 0.000 0.000
Sb 4.851 4.851 5.164
Sb 2.426 2.426 1.991

***

Q | 5
Lattice="5.569 0.000 0.000 0.000 5.569 0.000 2.785 2.785 5.419" Properties=species:S:1:pos:R:3 comment="KSc2Sb2 (GGA-PBE, optimized geometry)" spacegroup="I4/mmm (139)" magmom_total_mub_per_fu=1.00 pbc="T T T"
Sc 5.569 5.569 3.511
Sc 2.785 2.785 1.908
Sb 5.569 2.785 2.709
Sb 2.785 5.569 2.709
K 0.000 0.000 0.000

***

Most stable structure: P

***

P | 5
Lattice="-3.299 3.372 -3.056 2.890 -1.364 -4.625 -3.516 -4.286 -0.933" Properties=species:S:1:pos:R:3 comment="KScSb3 (GGA-PBE, optimized geometry)" spacegroup="Pm-3m (221)" magmom_total_mub_per_fu=0.00 pbc="T T T"
K 0.000 0.000 0.000
Sb -1.758 -2.143 -0.467
Sb -1.650 1.686 -1.528
Sb 1.445 -0.682 -2.312
Sc -1.962 -1.139 -4.307

***

Q | 5
Lattice="5.570 0.000 0.000 0.000 5.570 0.000 0.000 0.000 5.570" Properties=species:S:1:pos:R:3 comment="KScSb3 (GGA-PBE, optimized geometry)" spacegroup="Pm-3m (221)" magmom_total_mub_per_fu=0.00 pbc="T T T"
K 2.785 2.785 2.785
Sb 0.000 0.000 2.785
Sb 2.785 0.000 0.000
Sb 0.000 2.785 0.000
Sc 0.000 0.000 0.000

***

Most stable structure: Q

***

P | 12
Lattice="7.003 0.000 0.000 0.000 7.816 1.271 0.000 -0.754 7.882" Properties=species:S:1:pos:R:3 comment="KSb2Se3 (GGA-PBE, optimized geometry)" spacegroup="Cmcm (63)" magmom_total_mub_per_fu=0.00 pbc="T T T"
Se 5.252 -0.043 7.334
Se 1.751 5.979 5.364
Se 5.252 1.082 3.789
Se 5.252 3.671 7.145
Se 1.751 7.105 1.819
Se 1.751 3.391 2.008
Sb 3.502 5.749 7.452
Sb 0.000 1.313 1.701
Sb 0.000 5.749 7.452
Sb 3.502 1.313 1.701
K 5.252 4.756 3.631
K 1.751 2.306 5.522

***

Q | 12
Lattice="8.223 -0.632 -3.673 -0.527 6.042 -2.221 -2.612 -0.073 9.814" Properties=species:S:1:pos:R:3 comment="KSb2Se3 (GGA-PBE, optimized geometry)" spacegroup="C2/c (15)" magmom_total_mub_per_fu=0.00 pbc="T T T"
Se 4.802 1.625 -0.013
Se 5.882 2.794 -3.956
Se 4.735 -0.528 3.538
Se 1.814 2.616 -1.938
Se 0.281 3.712 3.933
Se 0.348 5.864 0.381
Sb -1.366 4.629 1.988
Sb 6.450 0.708 1.932
Sb 2.831 3.323 0.515
Sb 2.252 2.013 3.405
K 6.140 -0.166 -2.869
K 1.555 5.575 -3.026

***

Most stable structure: Q

***

P | 12
Lattice="7.375 0.014 0.010 0.882 7.889 0.316 0.882 2.875 7.353" Properties=species:S:1:pos:R:3 comment="K2SbSe3 (GGA-PBE, optimized geometry)" spacegroup="C2/c (15)" magmom_total_mub_per_fu=0.00 pbc="T T T"
Se 3.805 1.709 0.968
Se 1.647 9.299 6.375
Se 6.413 6.045 2.927
Se 5.334 9.069 6.711
Se 2.726 4.734 4.752
Se 7.492 1.480 1.304
K 3.509 7.862 3.924
K 7.196 6.284 6.154
K 1.943 4.495 1.525
K 5.630 2.916 3.755
Sb 6.413 7.515 0.862
Sb 2.726 3.263 6.816

***

Q | 24
Lattice="9.075 -0.493 0.000 -5.022 7.294 0.000 0.000 0.000 14.937" Properties=species:S:1:pos:R:3 comment="K2SbSe3 (GGA-PBE, optimized geometry)" spacegroup="P2_1/c (14)" magmom_total_mub_per_fu=0.00 pbc="T T T"
Sb 4.357 3.036 5.024
Sb -0.180 3.283 2.444
Sb -0.304 3.765 9.913
Sb 4.233 3.518 12.493
K 3.582 4.772 8.611
K 3.102 5.972 2.313
K -0.955 5.019 13.795
K 5.008 1.782 1.142
K 5.488 0.582 9.781
K 0.951 0.829 12.624
K 0.471 2.029 6.326
K -1.435 6.218 5.156
Se -0.298 1.285 9.502
Se 0.291 5.024 7.815
Se 4.351 5.516 5.436
Se 3.762 1.777 7.122
Se 4.240 1.039 12.904
Se 4.828 4.777 14.591
Se -0.187 5.762 2.033
Se -2.866 4.540 10.812
Se 2.381 2.507 3.343
Se 6.919 2.260 4.125
Se -0.775 2.024 0.347
Se 1.672 4.294 11.594

***

Most stable structure: Q

***

P | 10
Lattice="8.011 0.000 0.000 0.000 8.011 0.000 0.000 0.000 4.724" Properties=species:S:1:pos:R:3 comment="K2SbSe2 (GGA-PBE, optimized geometry)" spacegroup="P4/mbm (127)" magmom_total_mub_per_fu=0.00 pbc="T T T"
K 6.902 2.897 2.362
K 2.897 1.109 2.362
K 5.115 6.902 2.362
K 1.109 5.115 2.362
Se 5.421 1.416 0.000
Se 1.416 2.590 0.000
Se 6.596 5.421 0.000
Se 2.590 6.596 0.000
Sb 0.000 0.000 0.000
Sb 4.006 4.006 0.000

***

Q | 10
Lattice="-2.875 -3.499 -4.778 0.719 -7.786 0.734 -7.298 -5.419 3.825" Properties=species:S:1:pos:R:3 comment="K2SbSe2 (GGA-PBE, optimized geometry)" spacegroup="C2/m (12)" magmom_total_mub_per_fu=0.00 pbc="T T T"
K -4.156 -10.723 -3.253
K -4.817 -10.169 1.275
K -4.637 -6.535 -1.495
K -5.298 -5.981 3.033
Se -6.289 -12.013 -1.024
Se -7.047 -7.478 0.646
Se -3.165 -4.691 0.804
Se -2.407 -9.226 -0.866
Sb -7.782 -13.237 0.771
Sb -1.672 -3.466 -0.991

***

Most stable structure: Q

***

P | 10
Lattice="5.241 0.000 -1.085 0.000 6.150 0.000 1.974 0.000 9.562" Properties=species:S:1:pos:R:3 comment="KSbSe3 (GGA-PBE, optimized geometry)" spacegroup="P2_1 (4)" magmom_total_mub_per_fu=0.00 pbc="T T T"
Se 5.722 2.436 8.080
Se 1.291 5.917 6.222
Se 3.363 2.818 2.779
Se 5.924 2.842 2.254
Se 1.494 5.511 0.397
Se 3.852 5.894 5.697
Sb 1.582 2.912 0.745
Sb 5.633 5.987 7.732
K 2.625 2.829 6.305
K 4.590 5.904 2.172

***

Q | 5
Lattice="5.627 0.000 0.000 0.000 5.627 0.000 0.000 0.000 5.627" Properties=species:S:1:pos:R:3 comment="KSbSe3 (GGA-PBE, optimized geometry)" spacegroup="Pm-3m (221)" magmom_total_mub_per_fu=2.00 pbc="T T T"
Se 0.000 0.000 2.814
Se 0.000 2.814 0.000
Se 2.814 0.000 0.000
Sb 2.814 2.814 2.814
K 0.000 0.000 0.000

***

Most stable structure: P